(1)
Computed, not measured: a geometry-optimized SrLiCdGe2 structure at the GGA-PBE level of DFT.

abc: 6.517 6.517 6.517
angles: 139.85 139.85 58.07
Sites, in units of the cell vectors:
Sr 0.000 0.000 0.000
Li 0.250 0.750 0.500
Cd 0.750 0.250 0.500
Ge 0.391 0.391 0.000
Ge 0.609 0.609 0.000

Values from the calculation:
VASP energy: -3.19 eV/atom
energy of formation: -444 meV per atom
SG: No. 119

---

(2)
Computed, not measured: a geometry-optimized SrLi2CdGe structure at the GGA-PBE level of DFT.

abc: 4.980 4.980 5.339
angles: 90.00 90.00 90.00
Sites, in units of the cell vectors:
Sr 0.000 0.000 0.000
Li 0.000 0.500 0.500
Li 0.500 0.000 0.500
Cd 0.500 0.500 0.000
Ge 0.500 0.500 0.500

Values from the calculation:
VASP energy: -2.35 eV/atom
energy of formation: -144 meV per atom
SG: No. 123

---

(3)
Computed, not measured: a geometry-optimized LiTlCdGe structure at the GGA-PBE level of DFT.

abc: 4.980 4.980 4.980
angles: 60.00 60.00 60.00
Sites, in units of the cell vectors:
Li 0.000 0.000 0.000
Tl 0.750 0.750 0.750
Cd 0.500 0.500 0.500
Ge 0.250 0.250 0.250

Values from the calculation:
VASP energy: -2.47 eV/atom
energy of formation: -14 meV per atom
SG: No. 216

---

(4)
Computed, not measured: a geometry-optimized Li2VCdGe structure at the GGA-PBE level of DFT.

abc: 4.739 4.739 5.016
angles: 90.00 90.00 90.00
Sites, in units of the cell vectors:
Li 0.000 0.500 0.000
Li 0.500 0.000 0.000
V 0.000 0.000 0.500
Cd 0.500 0.500 0.000
Ge 0.500 0.500 0.500

Values from the calculation:
VASP energy: -2.94 eV/atom
energy of formation: 758 meV per atom
SG: No. 123

---

(5)
Computed, not measured: a geometry-optimized LiYCdGe2 structure at the GGA-PBE level of DFT.

abc: 5.145 5.145 4.597
angles: 90.00 90.00 90.00
Sites, in units of the cell vectors:
Li 0.000 0.000 0.000
Y 0.500 0.500 0.000
Cd 0.000 0.000 0.500
Ge 0.000 0.500 0.500
Ge 0.500 0.000 0.500

Values from the calculation:
VASP energy: -3.52 eV/atom
energy of formation: 185 meV per atom
SG: No. 123

---

(6)
Computed, not measured: a geometry-optimized LiYCdGe structure at the GGA-PBE level of DFT.

abc: 4.940 4.940 4.940
angles: 60.00 60.00 60.00
Sites, in units of the cell vectors:
Li 0.000 0.000 0.000
Y 0.500 0.500 0.500
Cd 0.250 0.250 0.250
Ge 0.750 0.750 0.750

Values from the calculation:
VASP energy: -3.90 eV/atom
energy of formation: -418 meV per atom
SG: No. 216